1.
VASP calculation (GGA-PBE) on a relaxed structure of LaY2Mg2.

Calculated values
Polymorph energy (0 for the lowest one) in meV per atom: 0
Volume in A^3/atom: 29.88
Energy in Ry per atom: -0.315
Density of states at the Fermi level in states/eV/cell: 12.0
Formation energy from the elements in eV/f.u.: -0.39
Space-group type: Cmcm (63)

a b c (Å): 14.196 14.196 5.567
angles (deg): 90.00 90.00 164.55
Sites, in units of the cell vectors:
La (0.149, 0.851, 0.750)
La (0.851, 0.149, 0.250)
Y (0.047, 0.953, 0.250)
Y (0.237, 0.763, 0.250)
Y (0.763, 0.237, 0.750)
Y (0.953, 0.047, 0.750)
Mg (0.359, 0.641, 0.750)
Mg (0.451, 0.549, 0.250)
Mg (0.549, 0.451, 0.750)
Mg (0.641, 0.359, 0.250)

2.
VASP calculation (GGA-PBE) on a relaxed structure of La6Y3Mg.

Calculated values
Volume in A^3/atom: 35.27
Energy in Ry per atom: -0.364
Density of states at the Fermi level in states/eV/cell: 32.3
Formation energy from the elements in eV/f.u.: 1.01
Space-group type: Cmc2_1 (36)

a b c (Å): 10.693 10.693 6.504
angles (deg): 90.00 90.00 71.52
Sites, in units of the cell vectors:
La (0.067, 0.933, 0.500)
La (0.081, 0.589, 0.685)
La (0.191, 0.809, 0.022)
La (0.251, 0.428, 0.161)
La (0.411, 0.919, 0.685)
La (0.428, 0.251, 0.661)
La (0.572, 0.749, 0.161)
La (0.589, 0.081, 0.185)
La (0.749, 0.572, 0.661)
La (0.809, 0.191, 0.522)
La (0.919, 0.411, 0.185)
La (0.933, 0.067, 0.000)
Y (0.102, 0.243, 0.706)
Y (0.243, 0.102, 0.206)
Y (0.436, 0.564, 0.845)
Y (0.564, 0.436, 0.345)
Y (0.757, 0.898, 0.706)
Y (0.898, 0.757, 0.206)
Mg (0.323, 0.677, 0.429)
Mg (0.677, 0.323, 0.929)

3.
VASP calculation (GGA-PBE) on a relaxed structure of LaY4Mg.

Calculated values
Polymorph energy (0 for the lowest one) in meV per atom: 133
Volume in A^3/atom: 32.13
Energy in Ry per atom: -0.388
Density of states at the Fermi level in states/eV/cell: 17.2
Formation energy from the elements in eV/f.u.: 0.71
Space-group type: C2/c (15)

a b c (Å): 10.299 10.299 5.929
angles (deg): 92.98 92.98 141.62
Sites, in units of the cell vectors:
La (0.122, 0.878, 0.750)
La (0.878, 0.122, 0.250)
Y (0.043, 0.464, 0.753)
Y (0.227, 0.306, 0.848)
Y (0.306, 0.227, 0.348)
Y (0.464, 0.043, 0.253)
Y (0.536, 0.957, 0.747)
Y (0.694, 0.773, 0.652)
Y (0.773, 0.694, 0.152)
Y (0.957, 0.536, 0.247)
Mg (0.363, 0.637, 0.250)
Mg (0.637, 0.363, 0.750)

4.
VASP calculation (GGA-PBE) on a relaxed structure of LaY5Mg6.

Calculated values
Volume in A^3/atom: 28.03
Energy in Ry per atom: -0.295
Density of states at the Fermi level in states/eV/cell: 15.7
Formation energy from the elements in eV/f.u.: -1.30
Space-group type: Cmmm (65)

a b c (Å): 8.563 8.563 7.647
angles (deg): 90.00 90.00 143.13
Sites, in units of the cell vectors:
La (0.000, 0.000, 0.000)
Y (0.000, 0.000, 0.500)
Y (0.332, 0.668, 0.000)
Y (0.336, 0.664, 0.500)
Y (0.664, 0.336, 0.500)
Y (0.668, 0.332, 0.000)
Mg (0.169, 0.831, 0.255)
Mg (0.169, 0.831, 0.745)
Mg (0.500, 0.500, 0.255)
Mg (0.500, 0.500, 0.745)
Mg (0.831, 0.169, 0.255)
Mg (0.831, 0.169, 0.745)

5.
VASP calculation (GGA-PBE) on a relaxed structure of La12Y5Mg.

Calculated values
Volume in A^3/atom: 34.96
Energy in Ry per atom: -0.379
Density of states at the Fermi level in states/eV/cell: 26.8
Formation energy from the elements in eV/f.u.: 0.23
Space-group type: C2/m (12)

a b c (Å): 10.983 10.983 6.388
angles (deg): 106.34 106.34 59.68
Sites, in units of the cell vectors:
La (0.002, 0.664, 0.162)
La (0.164, 0.501, 0.667)
La (0.166, 0.834, 0.000)
La (0.328, 0.672, 0.500)
La (0.336, 0.998, 0.838)
La (0.499, 0.836, 0.333)
La (0.501, 0.164, 0.667)
La (0.664, 0.002, 0.162)
La (0.672, 0.328, 0.500)
La (0.834, 0.166, 0.000)
La (0.836, 0.499, 0.333)
La (0.998, 0.336, 0.838)
Y (0.165, 0.165, 0.338)
Y (0.333, 0.333, 0.166)
Y (0.500, 0.500, 0.000)
Y (0.667, 0.667, 0.834)
Y (0.835, 0.835, 0.662)
Mg (0.000, 0.000, 0.500)

6.
VASP calculation (GGA-PBE) on a relaxed structure of LaY2Mg2.

Calculated values
Polymorph energy (0 for the lowest one) in meV per atom: 95
Volume in A^3/atom: 30.13
Energy in Ry per atom: -0.308
Density of states at the Fermi level in states/eV/cell: 15.5
Formation energy from the elements in eV/f.u.: 0.09
Space-group type: P4/mbm (127)

a b c (Å): 9.134 9.134 3.611
angles (deg): 90.00 90.00 90.00
Sites, in units of the cell vectors:
La (0.000, 0.000, 0.000)
La (0.500, 0.500, 0.000)
Y (0.132, 0.368, 0.000)
Y (0.368, 0.868, 0.000)
Y (0.632, 0.132, 0.000)
Y (0.868, 0.632, 0.000)
Mg (0.165, 0.665, 0.500)
Mg (0.335, 0.165, 0.500)
Mg (0.665, 0.835, 0.500)
Mg (0.835, 0.335, 0.500)

7.
VASP calculation (GGA-PBE) on a relaxed structure of LaY3Mg.

Calculated values
Polymorph energy (0 for the lowest one) in meV per atom: 484
Volume in A^3/atom: 36.23
Energy in Ry per atom: -0.347
Density of states at the Fermi level in states/eV/cell: 9.6
Formation energy from the elements in eV/f.u.: 2.31
Space-group type: Pm-3m (221)

a b c (Å): 5.658 5.658 5.658
angles (deg): 90.00 90.00 90.00
Sites, in units of the cell vectors:
La (0.000, 0.000, 0.000)
Y (0.000, 0.500, 0.500)
Y (0.500, 0.000, 0.500)
Y (0.500, 0.500, 0.000)
Mg (0.500, 0.500, 0.500)

8.
VASP calculation (GGA-PBE) on a relaxed structure of La12YMg3.

Calculated values
Volume in A^3/atom: 34.17
Energy in Ry per atom: -0.324
Density of states at the Fermi level in states/eV/cell: 25.1
Formation energy from the elements in eV/f.u.: -0.23
Space-group type: P4/mmm (123)

a b c (Å): 5.143 5.143 20.664
angles (deg): 90.00 90.00 90.00
Sites, in units of the cell vectors:
La (0.000, 0.000, 0.000)
La (0.000, 0.000, 0.248)
La (0.000, 0.000, 0.500)
La (0.000, 0.000, 0.752)
La (0.000, 0.500, 0.124)
La (0.000, 0.500, 0.372)
La (0.000, 0.500, 0.628)
La (0.000, 0.500, 0.876)
La (0.500, 0.000, 0.124)
La (0.500, 0.000, 0.372)
La (0.500, 0.000, 0.628)
La (0.500, 0.000, 0.876)
Y (0.500, 0.500, 0.500)
Mg (0.500, 0.500, 0.000)
Mg (0.500, 0.500, 0.246)
Mg (0.500, 0.500, 0.754)

9.
VASP calculation (GGA-PBE) on a relaxed structure of La3YMg2.

Calculated values
Volume in A^3/atom: 32.63
Energy in Ry per atom: -0.303
Density of states at the Fermi level in states/eV/cell: 8.0
Formation energy from the elements in eV/f.u.: -0.33
Space-group type: P4/mmm (123)

a b c (Å): 3.911 3.911 12.802
angles (deg): 90.00 90.00 90.00
Sites, in units of the cell vectors:
La (0.000, 0.000, 0.000)
La (0.000, 0.000, 0.312)
La (0.000, 0.000, 0.688)
Y (0.500, 0.500, 0.500)
Mg (0.500, 0.500, 0.157)
Mg (0.500, 0.500, 0.843)

10.
VASP calculation (GGA-PBE) on a relaxed structure of LaY3Mg2.

Calculated values
Volume in A^3/atom: 30.08
Energy in Ry per atom: -0.341
Density of states at the Fermi level in states/eV/cell: 9.7
Formation energy from the elements in eV/f.u.: -0.34
Space-group type: P4/mmm (123)

a b c (Å): 3.732 3.732 12.955
angles (deg): 90.00 90.00 90.00
Sites, in units of the cell vectors:
La (0.000, 0.000, 0.000)
Y (0.500, 0.500, 0.198)
Y (0.500, 0.500, 0.500)
Y (0.500, 0.500, 0.802)
Mg (0.000, 0.000, 0.350)
Mg (0.000, 0.000, 0.650)

11.
VASP calculation (GGA-PBE) on a relaxed structure of LaY4Mg5.

Calculated values
Volume in A^3/atom: 28.19
Energy in Ry per atom: -0.293
Density of states at the Fermi level in states/eV/cell: 14.2
Formation energy from the elements in eV/f.u.: -1.07
Space-group type: P4/mmm (123)

a b c (Å): 3.827 3.827 19.245
angles (deg): 90.00 90.00 90.00
Sites, in units of the cell vectors:
La (0.000, 0.000, 0.000)
Y (0.000, 0.000, 0.206)
Y (0.000, 0.000, 0.402)
Y (0.000, 0.000, 0.598)
Y (0.000, 0.000, 0.794)
Mg (0.500, 0.500, 0.110)
Mg (0.500, 0.500, 0.304)
Mg (0.500, 0.500, 0.500)
Mg (0.500, 0.500, 0.696)
Mg (0.500, 0.500, 0.890)

12.
VASP calculation (GGA-PBE) on a relaxed structure of LaY2Mg2.

Calculated values
Polymorph energy (0 for the lowest one) in meV per atom: 340
Volume in A^3/atom: 32.29
Energy in Ry per atom: -0.290
Density of states at the Fermi level in states/eV/cell: 17.2
Formation energy from the elements in eV/f.u.: 1.31
Space-group type: I4/mmm (139)

a b c (Å): 4.588 4.588 15.340
angles (deg): 90.00 90.00 90.00
Sites, in units of the cell vectors:
La (0.000, 0.000, 0.000)
La (0.500, 0.500, 0.500)
Y (0.000, 0.000, 0.396)
Y (0.000, 0.000, 0.604)
Y (0.500, 0.500, 0.104)
Y (0.500, 0.500, 0.896)
Mg (0.000, 0.500, 0.250)
Mg (0.000, 0.500, 0.750)
Mg (0.500, 0.000, 0.250)
Mg (0.500, 0.000, 0.750)